Record 1
# TlGa2Sn2 | Alexandria | meta-GGA SCAN | PBEsol geometry
# DFT total energy: -176.55 eV per formula unit
# E_form: 0.069 eV/atom
# relative energy among the computed polymorphs: 0.00 eV/f.u.
data_TlGa2Sn2
_space_group_name_H-M_alt 'P 1'
_space_group_IT_number 1
_cell_length_a 4.7991
_cell_length_b 4.7991
_cell_length_c 11.1469
_cell_angle_alpha 90.00
_cell_angle_beta 90.00
_cell_angle_gamma 90.00
loop_
_space_group_symop_operation_xyz
'x,y,z'
loop_
_atom_site_label
_atom_site_fract_x
_atom_site_fract_y
_atom_site_fract_z
Tl1 0.0000 0.0000 0.0000
Tl2 0.5000 0.5000 0.5000
Ga1 0.0000 0.5000 0.2500
Ga2 0.0000 0.5000 0.7500
Ga3 0.5000 0.0000 0.2500
Ga4 0.5000 0.0000 0.7500
Sn1 0.0000 0.0000 0.3739
Sn2 0.0000 0.0000 0.6261
Sn3 0.5000 0.5000 0.1261
Sn4 0.5000 0.5000 0.8739

Record 2
# Tl3GaSn | Alexandria | meta-GGA SCAN | PBEsol geometry
# DFT total energy: -267.66 eV per formula unit
# E_form: 0.337 eV/atom
data_Tl3GaSn
_space_group_name_H-M_alt 'P 1'
_space_group_IT_number 1
_cell_length_a 5.3209
_cell_length_b 5.3209
_cell_length_c 5.3209
_cell_angle_alpha 90.00
_cell_angle_beta 90.00
_cell_angle_gamma 90.00
loop_
_space_group_symop_operation_xyz
'x,y,z'
loop_
_atom_site_label
_atom_site_fract_x
_atom_site_fract_y
_atom_site_fract_z
Tl1 0.0000 0.0000 0.5000
Tl2 0.0000 0.5000 0.0000
Tl3 0.5000 0.0000 0.0000
Ga1 0.0000 0.0000 0.0000
Sn1 0.5000 0.5000 0.5000

Record 3
# TlGa2Sn2 | Alexandria | meta-GGA SCAN | PBEsol geometry
# DFT total energy: -176.14 eV per formula unit
# E_form: 0.150 eV/atom
# relative energy among the computed polymorphs: 0.41 eV/f.u.
data_TlGa2Sn2
_space_group_name_H-M_alt 'P 1'
_space_group_IT_number 1
_cell_length_a 8.5041
_cell_length_b 8.5041
_cell_length_c 3.2871
_cell_angle_alpha 90.00
_cell_angle_beta 90.00
_cell_angle_gamma 90.00
loop_
_space_group_symop_operation_xyz
'x,y,z'
loop_
_atom_site_label
_atom_site_fract_x
_atom_site_fract_y
_atom_site_fract_z
Tl1 0.0000 0.0000 0.0000
Tl2 0.5000 0.5000 0.0000
Ga1 0.1528 0.3472 0.5000
Ga2 0.3472 0.8472 0.5000
Ga3 0.6528 0.1528 0.5000
Ga4 0.8472 0.6528 0.5000
Sn1 0.1427 0.6427 0.0000
Sn2 0.3573 0.1427 0.0000
Sn3 0.6427 0.8573 0.0000
Sn4 0.8573 0.3573 0.0000

Record 4
# V6GaSn | Alexandria | meta-GGA SCAN | PBEsol geometry
# DFT total energy: -158.62 eV per formula unit
# E_form: -0.178 eV/atom
data_V6GaSn
_space_group_name_H-M_alt 'P 1'
_space_group_IT_number 1
_cell_length_a 4.8106
_cell_length_b 4.8106
_cell_length_c 4.8106
_cell_angle_alpha 90.00
_cell_angle_beta 90.00
_cell_angle_gamma 90.00
loop_
_space_group_symop_operation_xyz
'x,y,z'
loop_
_atom_site_label
_atom_site_fract_x
_atom_site_fract_y
_atom_site_fract_z
V1 0.0000 0.2378 0.5000
V2 0.0000 0.7622 0.5000
V3 0.2378 0.5000 0.0000
V4 0.5000 0.0000 0.2378
V5 0.5000 0.0000 0.7622
V6 0.7622 0.5000 0.0000
Ga1 0.0000 0.0000 0.0000
Sn1 0.5000 0.5000 0.5000

Record 5
# V2GaSn2 | Alexandria | meta-GGA SCAN | PBEsol geometry
# DFT total energy: -123.96 eV per formula unit
# E_form: -0.158 eV/atom
data_V2GaSn2
_space_group_name_H-M_alt 'P 1'
_space_group_IT_number 1
_cell_length_a 9.6838
_cell_length_b 9.6838
_cell_length_c 6.6638
_cell_angle_alpha 90.00
_cell_angle_beta 90.00
_cell_angle_gamma 146.80
loop_
_space_group_symop_operation_xyz
'x,y,z'
loop_
_atom_site_label
_atom_site_fract_x
_atom_site_fract_y
_atom_site_fract_z
V1 0.0742 0.9258 0.9724
V2 0.0916 0.4084 0.7500
V3 0.4084 0.0916 0.2500
V4 0.4258 0.5742 0.4724
V5 0.5742 0.4258 0.5276
V6 0.5916 0.9084 0.7500
V7 0.9084 0.5916 0.2500
V8 0.9258 0.0742 0.0276
Ga1 0.2324 0.2676 0.7500
Ga2 0.2676 0.2324 0.2500
Ga3 0.7324 0.7676 0.7500
Ga4 0.7676 0.7324 0.2500
Sn1 0.1110 0.8890 0.5774
Sn2 0.2220 0.7780 0.9222
Sn3 0.2780 0.7220 0.4222
Sn4 0.3890 0.6110 0.0774
Sn5 0.6110 0.3890 0.9226
Sn6 0.7220 0.2780 0.5778
Sn7 0.7780 0.2220 0.0778
Sn8 0.8890 0.1110 0.4226

Record 6
# V9Ga2Sn | Alexandria | meta-GGA SCAN | PBEsol geometry
# DFT total energy: -228.40 eV per formula unit
# E_form: -0.199 eV/atom
data_V9Ga2Sn
_space_group_name_H-M_alt 'P 1'
_space_group_IT_number 1
_cell_length_a 4.7750
_cell_length_b 4.7908
_cell_length_c 14.3215
_cell_angle_alpha 90.00
_cell_angle_beta 90.00
_cell_angle_gamma 90.00
loop_
_space_group_symop_operation_xyz
'x,y,z'
loop_
_atom_site_label
_atom_site_fract_x
_atom_site_fract_y
_atom_site_fract_z
V1 0.0000 0.0000 0.0799
V2 0.0000 0.0000 0.2396
V3 0.0000 0.0000 0.4183
V4 0.0000 0.0000 0.5817
V5 0.0000 0.0000 0.7604
V6 0.0000 0.0000 0.9201
V7 0.2336 0.5000 0.3318
V8 0.2336 0.5000 0.6682
V9 0.2635 0.5000 0.0000
V10 0.5000 0.2553 0.5000
V11 0.5000 0.2589 0.1586
V12 0.5000 0.2589 0.8414
V13 0.5000 0.7411 0.1586
V14 0.5000 0.7411 0.8414
V15 0.5000 0.7447 0.5000
V16 0.7365 0.5000 0.0000
V17 0.7664 0.5000 0.3318
V18 0.7664 0.5000 0.6682
Ga1 0.0000 0.5000 0.1650
Ga2 0.0000 0.5000 0.5000
Ga3 0.0000 0.5000 0.8350
Ga4 0.5000 0.0000 0.0000
Sn1 0.5000 0.0000 0.3294
Sn2 0.5000 0.0000 0.6706

Record 7
# YGaSn3 | Alexandria | meta-GGA SCAN | PBEsol geometry
# DFT total energy: -150.97 eV per formula unit
# E_form: 0.196 eV/atom
data_YGaSn3
_space_group_name_H-M_alt 'P 1'
_space_group_IT_number 1
_cell_length_a 5.2038
_cell_length_b 5.2038
_cell_length_c 5.2038
_cell_angle_alpha 90.00
_cell_angle_beta 90.00
_cell_angle_gamma 90.00
loop_
_space_group_symop_operation_xyz
'x,y,z'
loop_
_atom_site_label
_atom_site_fract_x
_atom_site_fract_y
_atom_site_fract_z
Y1 0.0000 0.0000 0.0000
Ga1 0.5000 0.5000 0.5000
Sn1 0.0000 0.5000 0.5000
Sn2 0.5000 0.0000 0.5000
Sn3 0.5000 0.5000 0.0000

Record 8
# Zn2Ga2Sn | Alexandria | meta-GGA SCAN | PBEsol geometry
# DFT total energy: -95.17 eV per formula unit
# E_form: 0.095 eV/atom
# relative energy among the computed polymorphs: 0.00 eV/f.u.
data_Zn2Ga2Sn
_space_group_name_H-M_alt 'P 1'
_space_group_IT_number 1
_cell_length_a 4.0231
_cell_length_b 4.0231
_cell_length_c 11.3950
_cell_angle_alpha 90.00
_cell_angle_beta 90.00
_cell_angle_gamma 90.00
loop_
_space_group_symop_operation_xyz
'x,y,z'
loop_
_atom_site_label
_atom_site_fract_x
_atom_site_fract_y
_atom_site_fract_z
Zn1 0.0000 0.5000 0.2500
Zn2 0.0000 0.5000 0.7500
Zn3 0.5000 0.0000 0.2500
Zn4 0.5000 0.0000 0.7500
Ga1 0.0000 0.0000 0.1089
Ga2 0.0000 0.0000 0.8911
Ga3 0.5000 0.5000 0.3911
Ga4 0.5000 0.5000 0.6089
Sn1 0.0000 0.0000 0.5000
Sn2 0.5000 0.5000 0.0000